Record 1
LiY3Cl: relaxed, PBE.

Unit cell a=5.2279 b=5.2279 c=5.2279 alpha=90.00 beta=90.00 gamma=90.00
Fractional coordinates of all 5 atoms:
Li (0.0000, 0.0000, 0.0000)
Y (0.0000, 0.5000, 0.5000)
Y (0.5000, 0.0000, 0.5000)
Y (0.5000, 0.5000, 0.0000)
Cl (0.5000, 0.5000, 0.5000)

space group	Pm-3m
crystal system	cubic
formation energy from raw total energies	-280	meV per atom
energy relative to the lowest polymorph listed for this composition	0.000	eV/atom

---

Record 2
Al2CuP: relaxed, PBE.

Unit cell a=3.4797 b=3.4455 c=5.2700 alpha=90.00 beta=106.16 gamma=90.00
Fractional coordinates of all 4 atoms:
Al (0.0000, 0.0000, 0.0000)
Al (0.3445, 0.5000, 0.6376)
Cu (0.7835, 0.0000, 0.4893)
P (0.5559, 0.5000, 0.1299)

space group	Pm
ΔE_f	-0.094	eV per atom
crystal system	monoclinic

---

Record 3
Nd6Te3P2S: relaxed, PBE.

Unit cell a=9.7626 b=9.7626 c=8.7860 alpha=105.71 beta=105.71 gamma=25.13
Fractional coordinates of all 12 atoms:
Nd (0.0097, 0.0097, 0.2301)
Nd (0.3247, 0.3247, 0.4376)
Nd (0.3402, 0.3402, 0.8935)
Nd (0.6598, 0.6598, 0.1065)
Nd (0.6753, 0.6753, 0.5624)
Nd (0.9903, 0.9903, 0.7699)
Te (0.1659, 0.1659, 0.8335)
Te (0.5000, 0.5000, 0.5000)
Te (0.8341, 0.8341, 0.1665)
P (0.1664, 0.1664, 0.3326)
P (0.8336, 0.8336, 0.6674)
S (0.5000, 0.5000, 0.0000)

space group	C2/m
crystal system	monoclinic
formation energy from raw total energies	-1635	meV per atom

---

Record 4
Zr2GaCoC: relaxed, PBE.

Unit cell a=3.5972 b=3.5972 c=11.7074 alpha=90.00 beta=90.00 gamma=90.00
Fractional coordinates of all 10 atoms:
Zr (0.2500, 0.2500, 0.0927)
Zr (0.2500, 0.2500, 0.7113)
Zr (0.7500, 0.7500, 0.2887)
Zr (0.7500, 0.7500, 0.9073)
Ga (0.2500, 0.2500, 0.3645)
Ga (0.7500, 0.7500, 0.6355)
Co (0.2500, 0.7500, 0.5000)
Co (0.7500, 0.2500, 0.5000)
C (0.2500, 0.2500, 0.9028)
C (0.7500, 0.7500, 0.0972)

space group	P4/nmm
ΔE_f	-0.470	eV per atom
crystal system	tetragonal

---

Record 5
TlCd3Ge: relaxed, PBE.

Unit cell a=5.4974 b=5.4974 c=5.4974 alpha=90.00 beta=90.00 gamma=90.00
Fractional coordinates of all 5 atoms:
Tl (0.0000, 0.0000, 0.0000)
Cd (0.0000, 0.0000, 0.5000)
Cd (0.0000, 0.5000, 0.0000)
Cd (0.5000, 0.0000, 0.0000)
Ge (0.5000, 0.5000, 0.5000)

space group	Pm-3m
ΔE_f	0.722	eV per atom
crystal system	cubic
energy relative to the lowest polymorph listed for this composition	0.456	eV/atom

---

Record 6
Tb4Ga2H: relaxed, PBE.

Unit cell a=6.1332 b=6.6186 c=8.7146 alpha=90.00 beta=110.69 gamma=90.00
Fractional coordinates of all 14 atoms:
Tb (0.0242, 0.0013, 0.2659)
Tb (0.0242, 0.4987, 0.2659)
Tb (0.4047, 0.2500, 0.0801)
Tb (0.4265, 0.2500, 0.6263)
Tb (0.5735, 0.7500, 0.3737)
Tb (0.5953, 0.7500, 0.9199)
Tb (0.9758, 0.5013, 0.7341)
Tb (0.9758, 0.9987, 0.7341)
Ga (0.1934, 0.7500, 0.0427)
Ga (0.2661, 0.7500, 0.5741)
Ga (0.7339, 0.2500, 0.4259)
Ga (0.8066, 0.2500, 0.9573)
H (0.2369, 0.2500, 0.8051)
H (0.7631, 0.7500, 0.1949)

space group	P2_1/m
crystal system	monoclinic
energy relative to the lowest polymorph listed for this composition	0.000	eV/atom

---

Record 7
Cs2BeH4: relaxed, PBE.

Unit cell a=6.1669 b=6.0079 c=8.6620 alpha=90.00 beta=101.26 gamma=90.00
Fractional coordinates of all 14 atoms:
Cs (0.2286, 0.2500, 0.0282)
Cs (0.2656, 0.2500, 0.5445)
Cs (0.7344, 0.7500, 0.4555)
Cs (0.7714, 0.7500, 0.9718)
Be (0.1875, 0.7500, 0.7707)
Be (0.8125, 0.2500, 0.2293)
H (0.0445, 0.5541, 0.7355)
H (0.0445, 0.9459, 0.7355)
H (0.2807, 0.7500, 0.9396)
H (0.3614, 0.7500, 0.6748)
H (0.6386, 0.2500, 0.3252)
H (0.7193, 0.2500, 0.0604)
H (0.9555, 0.0541, 0.2645)
H (0.9555, 0.4459, 0.2645)

space group	P2_1/m
crystal system	monoclinic
energy relative to the lowest polymorph listed for this composition	0.000	eV/atom

---

Record 8
YCr2Ir: relaxed, PBE.

Unit cell a=4.6761 b=4.6761 c=3.1455 alpha=90.00 beta=90.00 gamma=100.03
Fractional coordinates of all 4 atoms:
Y (0.0000, 0.0000, 0.0000)
Cr (0.0000, 0.5000, 0.5000)
Cr (0.5000, 0.0000, 0.5000)
Ir (0.5000, 0.5000, 0.0000)

space group	Cmmm
ΔE_f	0.392	eV per atom
crystal system	orthorhombic
energy relative to the lowest polymorph listed for this composition	0.307	eV/atom

---

| no. | volume (Å³/f.u.) |
| --- | --- |
| 1 | 142.88 |
| 2 | 60.69 |
| 3 | 341.71 |
| 4 | 75.75 |
| 5 | 166.13 |
| 6 | 165.46 |
| 7 | 157.37 |
| 8 | 67.73 |